1.
6
Lattice="4.4787 0.0000 0.0000 -2.2393 3.8786 0.0000 0.0000 0.0000 7.2228" Properties=species:S:1:pos:R:3 comment="GdDyAl2Zn2 PBE-GGA optimized geometry" density_g_cm3=6.68 magmom_total_mub_per_fu=0.001 vol_a3_per_atom=20.911 spacegroup="P3m1 (156)" total_energy_ev_per_atom=-3.681 pbc="T T T"
Gd 0.0000 0.0000 0.0000
Dy 0.0000 0.0000 3.6104
Al 0.0000 2.5858 1.6341
Al 2.2393 1.2929 5.2412
Zn 0.0000 2.5858 5.7036
Zn 2.2393 1.2929 2.0966

***

2.
12
Lattice="2.0919 -7.1834 0.0000 2.0919 7.1834 0.0000 0.0000 0.0000 10.8505" Properties=species:S:1:pos:R:3 comment="KNaPuS3 PBE-GGA optimized geometry" density_g_cm3=4.10 magmom_total_mub_per_fu=3.994 vol_a3_per_atom=27.175 spacegroup="Cmcm (63)" total_energy_ev_per_atom=-6.108 pbc="T T T"
K 2.0919 4.1980 8.1379
K 2.0919 -4.1980 2.7126
Na 2.0919 6.2050 2.7126
Na 2.0919 -6.2050 8.1379
Pu 2.0919 0.0000 0.0000
Pu 2.0919 0.0000 5.4252
S 2.0919 5.4656 0.2184
S 2.0919 5.4656 5.2068
S 2.0919 0.6112 2.7126
S 2.0919 -0.6112 8.1379
S 2.0919 -5.4656 5.6437
S 2.0919 -5.4656 10.6321

***

3.
4
Lattice="0.0000 3.3322 3.3322 3.3322 0.0000 3.3322 3.3322 3.3322 0.0000" Properties=species:S:1:pos:R:3 comment="YHfCoAs PBE-GGA optimized geometry" density_g_cm3=9.00 magmom_total_mub_per_fu=0.986 vol_a3_per_atom=18.500 spacegroup="F-43m (216)" de_polymorph_mev_per_atom=0 pbc="T T T"
Y 0.0000 0.0000 0.0000
Hf 4.9983 4.9983 4.9983
Co 3.3322 3.3322 3.3322
As 1.6661 1.6661 1.6661